Entry 1:
First-principles (PBE) data for crystalline BaLiAs2Pd5 at its relaxed geometry, as listed in the Alexandria database.

## Properties
Its formation energy from the elements is -4.070 eV per formula unit. As for the space-group type: P4/mmm (123). The crystal system is tetragonal.

a = 4.386 Å, b = 4.386 Å, c = 9.823 Å
α = 90.00°, β = 90.00°, γ = 90.00°
Fractional positions:
Ba (0.000, 0.000, 0.000)
Li (0.000, 0.000, 0.500)
As (0.500, 0.500, 0.246)
As (0.500, 0.500, 0.754)
Pd (0.000, 0.500, 0.354)
Pd (0.000, 0.500, 0.646)
Pd (0.500, 0.000, 0.354)
Pd (0.500, 0.000, 0.646)
Pd (0.500, 0.500, 0.000)

=====

Entry 2:
First-principles (PBE) data for crystalline Ba2LiAs3Pd4 at its relaxed geometry, as listed in the Alexandria database.

## Properties
Its formation energy from the elements is -7.724 eV per formula unit. As for the space-group type: P-4m2 (115). The crystal system is tetragonal.

a = 4.503 Å, b = 4.503 Å, c = 10.412 Å
α = 90.00°, β = 90.00°, γ = 90.00°
Fractional positions:
Ba (0.000, 0.500, 0.249)
Ba (0.500, 0.000, 0.751)
Li (0.500, 0.500, 0.000)
As (0.000, 0.000, 0.000)
As (0.000, 0.500, 0.627)
As (0.500, 0.000, 0.373)
Pd (0.000, 0.000, 0.500)
Pd (0.000, 0.500, 0.877)
Pd (0.500, 0.000, 0.123)
Pd (0.500, 0.500, 0.500)

=====

Entry 3:
First-principles (PBE) data for crystalline Ba2LiAs4Pd3 at its relaxed geometry, as listed in the Alexandria database.

## Properties
Its formation energy from the elements is -7.930 eV per formula unit. As for the space-group type: P-4m2 (115). The crystal system is tetragonal.

a = 4.589 Å, b = 4.589 Å, c = 10.305 Å
α = 90.00°, β = 90.00°, γ = 90.00°
Fractional positions:
Ba (0.000, 0.500, 0.248)
Ba (0.500, 0.000, 0.752)
Li (0.500, 0.500, 0.000)
As (0.000, 0.000, 0.500)
As (0.000, 0.500, 0.871)
As (0.500, 0.000, 0.129)
As (0.500, 0.500, 0.500)
Pd (0.000, 0.000, 0.000)
Pd (0.000, 0.500, 0.615)
Pd (0.500, 0.000, 0.385)

=====

Entry 4:
First-principles (PBE) data for crystalline BaLi2PmAs2 at its relaxed geometry, as listed in the Alexandria database.

## Properties
Its formation energy from the elements is -5.864 eV per formula unit. As for the space-group type: P-3m1 (164). The crystal system is trigonal.

a = 4.407 Å, b = 4.407 Å, c = 8.580 Å
α = 90.00°, β = 90.00°, γ = 120.00°
Fractional positions:
Ba (0.000, 0.000, 0.000)
Li (0.333, 0.667, 0.726)
Li (0.667, 0.333, 0.274)
Pm (0.000, 0.000, 0.500)
As (0.333, 0.667, 0.288)
As (0.667, 0.333, 0.712)

=====

Entry 5:
First-principles (PBE) data for crystalline BaLiAs2Pt at its relaxed geometry, as listed in the Alexandria database.

## Properties
Its formation energy from the elements is -4.206 eV per formula unit. As for the space-group type: I-4m2 (119). The crystal system is tetragonal.

a = 6.248 Å, b = 6.248 Å, c = 6.248 Å
α = 138.04°, β = 138.04°, γ = 60.84°
Fractional positions:
Ba (0.000, 0.000, 0.000)
Li (0.750, 0.250, 0.500)
As (0.372, 0.372, 0.000)
As (0.628, 0.628, 0.000)
Pt (0.250, 0.750, 0.500)

=====

Entry 6:
First-principles (PBE) data for crystalline BaLiAs2Pt2 at its relaxed geometry, as listed in the Alexandria database.

## Properties
Its formation energy from the elements is -4.836 eV per formula unit. As for the space-group type: P-3m1 (164). The crystal system is trigonal.

a = 4.392 Å, b = 4.392 Å, c = 7.528 Å
α = 90.00°, β = 90.00°, γ = 120.00°
Fractional positions:
Ba (0.000, 0.000, 0.000)
Li (0.000, 0.000, 0.500)
As (0.333, 0.667, 0.312)
As (0.667, 0.333, 0.688)
Pt (0.333, 0.667, 0.664)
Pt (0.667, 0.333, 0.336)

=====

Entry 7:
First-principles (PBE) data for crystalline BaLi2PuAs2 at its relaxed geometry, as listed in the Alexandria database.

## Properties
Its formation energy from the elements is -5.001 eV per formula unit. As for the space-group type: P-3m1 (164). The crystal system is trigonal.

a = 4.506 Å, b = 4.506 Å, c = 8.089 Å
α = 90.00°, β = 90.00°, γ = 120.00°
Fractional positions:
Ba (0.000, 0.000, 0.000)
Li (0.333, 0.667, 0.703)
Li (0.667, 0.333, 0.297)
Pu (0.000, 0.000, 0.500)
As (0.333, 0.667, 0.291)
As (0.667, 0.333, 0.709)

=====

Entry 8:
First-principles (PBE) data for crystalline Ba2LiAs2Rh at its relaxed geometry, as listed in the Alexandria database.

## Properties
Its formation energy from the elements is -4.600 eV per formula unit. As for the space-group type: Ibam (72). The crystal system is orthorhombic.

a = 10.036 Å, b = 10.036 Å, c = 10.036 Å
α = 143.56°, β = 51.17°, γ = 145.35°
Fractional positions:
Ba (0.150, 0.249, 0.399)
Ba (0.350, 0.749, 0.100)
Ba (0.650, 0.251, 0.900)
Ba (0.850, 0.751, 0.601)
Li (0.250, 0.750, 0.500)
Li (0.750, 0.250, 0.500)
As (0.078, 0.762, 0.841)
As (0.422, 0.262, 0.684)
As (0.578, 0.738, 0.316)
As (0.922, 0.238, 0.159)
Rh (0.250, 0.250, 0.000)
Rh (0.750, 0.750, 0.000)

=====

Entry 9:
First-principles (PBE) data for crystalline BaLi2AsRh at its relaxed geometry, as listed in the Alexandria database.

## Properties
Its formation energy from the elements is -2.374 eV per formula unit. As for the space-group type: P4/mmm (123). The crystal system is tetragonal.

a = 4.926 Å, b = 4.926 Å, c = 4.720 Å
α = 90.00°, β = 90.00°, γ = 90.00°
Fractional positions:
Ba (0.000, 0.000, 0.000)
Li (0.000, 0.500, 0.500)
Li (0.500, 0.000, 0.500)
As (0.500, 0.500, 0.000)
Rh (0.500, 0.500, 0.500)

=====

Entry 10:
First-principles (PBE) data for crystalline BaLiAsS3 at its relaxed geometry, as listed in the Alexandria database.

## Properties
The uncorrected formation energy is -91 kJ per mole of atoms. As for the space-group type: C2/m (12). The crystal system is monoclinic.

a = 6.239 Å, b = 6.239 Å, c = 8.603 Å
α = 102.50°, β = 102.50°, γ = 79.77°
Fractional positions:
Ba (0.192, 0.192, 0.127)
Ba (0.808, 0.808, 0.873)
Li (0.404, 0.404, 0.768)
Li (0.596, 0.596, 0.232)
As (0.203, 0.797, 0.500)
As (0.797, 0.203, 0.500)
S (0.184, 0.184, 0.520)
S (0.201, 0.705, 0.195)
S (0.295, 0.799, 0.805)
S (0.705, 0.201, 0.195)
S (0.799, 0.295, 0.805)
S (0.816, 0.816, 0.480)

=====

Entry 11:
First-principles (PBE) data for crystalline Ba3LiAs2S8 at its relaxed geometry, as listed in the Alexandria database.

## Properties
The uncorrected formation energy is -101 kJ per mole of atoms. As for the space-group type: P-3m1 (164). The crystal system is trigonal.

a = 6.903 Å, b = 6.903 Å, c = 8.950 Å
α = 90.00°, β = 90.00°, γ = 120.00°
Fractional positions:
Ba (0.000, 0.000, 0.000)
Ba (0.333, 0.667, 0.629)
Ba (0.667, 0.333, 0.371)
Li (0.000, 0.000, 0.500)
As (0.333, 0.667, 0.213)
As (0.667, 0.333, 0.787)
S (0.159, 0.319, 0.308)
S (0.159, 0.841, 0.308)
S (0.319, 0.159, 0.692)
S (0.333, 0.667, 0.970)
S (0.667, 0.333, 0.030)
S (0.681, 0.841, 0.308)
S (0.841, 0.159, 0.692)
S (0.841, 0.681, 0.692)

=====

Entry 12:
First-principles (PBE) data for crystalline BaLiAs2S4 at its relaxed geometry, as listed in the Alexandria database.

## Properties
The uncorrected formation energy is -70 kJ per mole of atoms. As for the space-group type: I222 (23). The crystal system is orthorhombic.

a = 6.390 Å, b = 6.390 Å, c = 6.390 Å
α = 119.16°, β = 115.29°, γ = 94.91°
Fractional positions:
Ba (0.000, 0.000, 0.000)
Li (0.500, 0.500, 0.000)
As (0.207, 0.707, 0.500)
As (0.793, 0.293, 0.500)
S (0.151, 0.567, 0.058)
S (0.491, 0.433, 0.583)
S (0.509, 0.092, 0.942)
S (0.849, 0.908, 0.417)

=====

Q: Number 11 is which compound?
A: Ba3LiAs2S8